No. 1
The following is a GGA-PBE calculation of TaAl2Sb after structural relaxation, from the Alexandria database.

Lattice parameters (Å, degrees): 3.6143 3.6143 5.7235 90.00 90.00 90.00
Closest atoms and distances in Å follow each position.
Positions (direct):
Ta: 0.0000 0.0000 0.0000  6 Al 2.72-3.01, 4 Sb 2.95
Al: 0.0000 0.0000 0.4745  2 Ta 2.72-3.01, 4 Al 2.90, 4 Sb 2.98
Al: 0.5000 0.5000 0.2357  2 Sb 2.82-2.90, 4 Ta 2.89, 4 Al 2.90
Sb: 0.5000 0.5000 0.7423  6 Al 2.82-2.98, 4 Ta 2.95

## Properties
Fermi-level density of states in states/eV/f.u.: 2.756
Size of the total moment in μB/cell: 0.0
Space-group type: P4mm, No. 99
Energy relative to the elements, uncorrected in kcal/mol of atoms: 0.40

=====

No. 2
The following is a GGA-PBE calculation of ScReW2 after structural relaxation, from the Alexandria database.

Lattice parameters (Å, degrees): 2.7081 4.6231 5.3713 90.00 90.00 90.00
Closest atoms and distances in Å follow each position.
Positions (direct):
Sc: 0.0000 0.0000 0.0000  2 W 2.68-2.69, 2 Sc 2.71, 4 Re 2.96
Re: 0.5000 0.5000 0.7637  2 W 2.67-2.70, 2 Re 2.71, 4 Sc 2.96
W: 0.0000 0.0000 0.5011  2 Sc 2.68-2.69, 6 W 2.71-2.97
W: 0.5000 0.5000 0.2605  2 Re 2.67-2.70, 6 W 2.71-2.97

## Properties
Polymorph energy (0 for the lowest one) in kcal/mol of atoms: 8.13
Fermi-level density of states in states/eV/f.u.: 3.220
Formation enthalpy at 0 K in eV/f.u.: 1.34
Size of the total moment in μB/cell: 0.0
Space-group type: Pmm2, No. 25

=====

No. 3
The following is a GGA-PBE calculation of K4LiCe3Se8 after structural relaxation, from the Alexandria database.

Lattice parameters (Å, degrees): 9.0744 9.0744 9.0744 56.64 56.64 56.64
Closest atoms and distances in Å follow each position.
Positions (direct):
K: 0.0000 0.0000 0.0000  6 Se 3.32
K: 0.0000 0.5000 0.5000  6 Se 3.32-3.39
K: 0.5000 0.0000 0.5000  6 Se 3.32-3.39
K: 0.5000 0.5000 0.0000  6 Se 3.32-3.39
Li: 0.5000 0.5000 0.5000  6 Se 2.97
Ce: 0.0000 0.0000 0.5000  6 Se 2.89-2.95
Ce: 0.0000 0.5000 0.0000  6 Se 2.89-2.95
Ce: 0.5000 0.0000 0.0000  6 Se 2.89-2.95
Se: 0.2261 0.7377 0.7377  2 Ce 2.89, 1 Li 2.97
Se: 0.2366 0.2366 0.2366  3 Ce 2.95
Se: 0.2623 0.2623 0.7739  2 Ce 2.89, 1 Li 2.97
Se: 0.2623 0.7739 0.2623  2 Ce 2.89, 1 Li 2.97
Se: 0.7377 0.2261 0.7377  2 Ce 2.89, 1 Li 2.97
Se: 0.7377 0.7377 0.2261  2 Ce 2.89, 1 Li 2.97
Se: 0.7634 0.7634 0.7634  3 Ce 2.95
Se: 0.7739 0.2623 0.2623  2 Ce 2.89, 1 Li 2.97

## Properties
Fermi-level density of states in states/eV/f.u.: 13.307
Size of the total moment in μB/cell: 1.1
Space-group type: R-3m, No. 166
Energy relative to the elements, uncorrected in kcal/mol of atoms: -35.78

=====

No. 4
The following is a GGA-PBE calculation of Sr2CdBi after structural relaxation, from the Alexandria database.

Lattice parameters (Å, degrees): 5.5205 5.5205 4.5283 90.00 90.00 90.00
Closest atoms and distances in Å follow each position.
Positions (direct):
Sr: 0.0000 0.5000 0.0000  4 Cd 3.57, 4 Bi 3.57, 4 Sr 3.90
Sr: 0.5000 0.0000 0.0000  4 Cd 3.57, 4 Bi 3.57, 4 Sr 3.90
Cd: 0.0000 0.0000 0.5000  8 Sr 3.57, 4 Bi 3.90
Bi: 0.5000 0.5000 0.5000  8 Sr 3.57, 4 Cd 3.90

## Properties
Polymorph energy (0 for the lowest one) in kcal/mol of atoms: 0.00
Fermi-level density of states in states/eV/f.u.: 1.186
Formation enthalpy at 0 K in eV/f.u.: -2.50
Size of the total moment in μB/cell: 0.0
Space-group type: P4/mmm, No. 123

=====

No. 5
The following is a GGA-PBE calculation of Mo4OsRu5 after structural relaxation, from the Alexandria database.

Lattice parameters (Å, degrees): 6.7335 6.7335 5.4656 101.39 101.39 37.85
Closest atoms and distances in Å follow each position.
Positions (direct):
Mo: 0.0991 0.0991 0.3023  5 Ru 2.45-2.74
Mo: 0.2977 0.2977 0.1400  8 Ru 2.54-2.84, 2 Mo 2.79
Mo: 0.7023 0.7023 0.8600  8 Ru 2.54-2.84, 2 Mo 2.79
Mo: 0.9009 0.9009 0.6977  5 Ru 2.45-2.74
Os: 0.5000 0.5000 0.5000  8 Ru 2.73-2.92, 6 Mo 2.85-2.90
Ru: 0.0979 0.0979 0.8010  5 Mo 2.45-2.74
Ru: 0.2925 0.2925 0.6491  7 Mo 2.57-2.82, 3 Ru 2.77-2.80
Ru: 0.5000 0.5000 0.0000  2 Os 2.73, 6 Mo 2.84-2.87, 6 Ru 2.84-2.92
Ru: 0.7075 0.7075 0.3509  7 Mo 2.57-2.82, 3 Ru 2.77-2.80
Ru: 0.9021 0.9021 0.1990  5 Mo 2.45-2.74

## Properties
Fermi-level density of states in states/eV/f.u.: 8.295
Formation enthalpy at 0 K in eV/f.u.: 0.82
Size of the total moment in μB/cell: 0.0
Space-group type: C2/m, No. 12

=====

No. 6
The following is a GGA-PBE calculation of Tm6Mg5Hg after structural relaxation, from the Alexandria database.

Lattice parameters (Å, degrees): 8.3957 8.3957 7.4061 90.00 90.00 143.25
Closest atoms and distances in Å follow each position.
Positions (direct):
Tm: 0.0000 0.0000 0.2462  2 Hg 3.21, 6 Mg 3.25-3.30
Tm: 0.0000 0.0000 0.7538  2 Hg 3.21, 6 Mg 3.25-3.30
Tm: 0.3357 0.6643 0.2495  7 Mg 3.19-3.25, 1 Hg 3.20
Tm: 0.3357 0.6643 0.7505  7 Mg 3.19-3.25, 1 Hg 3.20
Tm: 0.6643 0.3357 0.2495  7 Mg 3.19-3.25, 1 Hg 3.20
Tm: 0.6643 0.3357 0.7505  7 Mg 3.19-3.25, 1 Hg 3.20
Mg: 0.1679 0.8321 0.5000  8 Tm 3.23-3.27
Mg: 0.1728 0.8272 0.0000  8 Tm 3.19-3.30
Mg: 0.5000 0.5000 0.5000  8 Tm 3.21-3.25
Mg: 0.8272 0.1728 0.0000  8 Tm 3.19-3.30
Mg: 0.8321 0.1679 0.5000  8 Tm 3.23-3.27
Hg: 0.5000 0.5000 0.0000  8 Tm 3.20-3.21

## Properties
Fermi-level density of states in states/eV/f.u.: 13.637
Formation enthalpy at 0 K in eV/f.u.: -1.54
Size of the total moment in μB/cell: 0.0
Space-group type: Cmmm, No. 65

=====

No. 7
The following is a GGA-PBE calculation of LaTbGeBr after structural relaxation, from the Alexandria database.

Lattice parameters (Å, degrees): 5.9826 5.0619 8.9011 90.00 90.00 90.00
Closest atoms and distances in Å follow each position.
Positions (direct):
La: 0.0000 0.0000 0.0000  3 Br 2.94-2.95, 2 Ge 2.99
La: 0.0000 0.5000 0.5000  3 Br 2.94-2.95, 2 Ge 2.99
Tb: 0.5000 0.0000 0.6692  3 Ge 2.94-2.95, 2 Br 2.99
Tb: 0.5000 0.5000 0.1692  3 Ge 2.94-2.95, 2 Br 2.99
Ge: 0.5000 0.0000 0.0003  3 Tb 2.94-2.95, 2 La 2.99
Ge: 0.5000 0.5000 0.5003  3 Tb 2.94-2.95, 2 La 2.99
Br: 0.0000 0.0000 0.6695  3 La 2.94-2.95, 2 Tb 2.99
Br: 0.0000 0.5000 0.1695  3 La 2.94-2.95, 2 Tb 2.99

## Properties
Fermi-level density of states in states/eV/f.u.: 1.990
Size of the total moment in μB/cell: 0.0
Space-group type: Amm2, No. 38
Energy relative to the elements, uncorrected in kcal/mol of atoms: -19.42

=====

No. 8
The following is a GGA-PBE calculation of CaTlRh4 after structural relaxation, from the Alexandria database.

Lattice parameters (Å, degrees): 5.3152 5.3152 5.3152 60.00 60.00 60.00
Closest atoms and distances in Å follow each position.
Positions (direct):
Ca: 0.0000 0.0000 0.0000  12 Rh 3.12, 4 Tl 3.25
Tl: 0.2500 0.2500 0.2500  12 Rh 3.12, 4 Ca 3.25
Rh: 0.1260 0.6247 0.6247  6 Rh 2.65-2.66
Rh: 0.6247 0.1260 0.6247  6 Rh 2.65-2.66
Rh: 0.6247 0.6247 0.1260  6 Rh 2.65-2.66
Rh: 0.6247 0.6247 0.6247  6 Rh 2.65-2.66

## Properties
Fermi-level density of states in states/eV/f.u.: 10.021
Formation enthalpy at 0 K in eV/f.u.: -0.84
Size of the total moment in μB/cell: 0.0
Space-group type: F-43m, No. 216

=====

No. 9
The following is a GGA-PBE calculation of Ta2VP after structural relaxation, from the Alexandria database.

Lattice parameters (Å, degrees): 6.2470 6.2470 6.2470 90.00 90.00 90.00
Closest atoms and distances in Å follow each position.
Positions (direct):
Ta: 0.2500 0.2500 0.2500  4 V 2.71, 4 P 2.71
Ta: 0.2500 0.2500 0.7500  4 V 2.71, 4 P 2.71
Ta: 0.2500 0.7500 0.2500  4 V 2.71, 4 P 2.71
Ta: 0.2500 0.7500 0.7500  4 V 2.71, 4 P 2.71
Ta: 0.7500 0.2500 0.2500  4 V 2.71, 4 P 2.71
Ta: 0.7500 0.2500 0.7500  4 V 2.71, 4 P 2.71
Ta: 0.7500 0.7500 0.2500  4 V 2.71, 4 P 2.71
Ta: 0.7500 0.7500 0.7500  4 V 2.71, 4 P 2.71
V: 0.0000 0.0000 0.0000  8 Ta 2.71
V: 0.0000 0.5000 0.5000  8 Ta 2.71
V: 0.5000 0.0000 0.5000  8 Ta 2.71
V: 0.5000 0.5000 0.0000  8 Ta 2.71
P: 0.0000 0.0000 0.5000  8 Ta 2.71
P: 0.0000 0.5000 0.0000  8 Ta 2.71
P: 0.5000 0.0000 0.0000  8 Ta 2.71
P: 0.5000 0.5000 0.5000  8 Ta 2.71

## Properties
Polymorph energy (0 for the lowest one) in kcal/mol of atoms: 0.00
Fermi-level density of states in states/eV/f.u.: 2.267
Formation enthalpy at 0 K in eV/f.u.: 0.06
Size of the total moment in μB/cell: 0.0
Space-group type: Fm-3m, No. 225

=====

No. 10
The following is a GGA-PBE calculation of CuRu2N after structural relaxation, from the Alexandria database.

Lattice parameters (Å, degrees): 6.2642 6.2642 5.1164 90.00 90.00 90.00
Closest atoms and distances in Å follow each position.
Positions (direct):
Cu: 0.0000 0.0000 0.0000  2 N 2.56, 8 Ru 2.66-2.76
Cu: 0.0000 0.5000 0.2500  2 N 2.56, 8 Ru 2.66-2.76
Cu: 0.5000 0.0000 0.7500  2 N 2.56, 8 Ru 2.66-2.76
Cu: 0.5000 0.5000 0.5000  2 N 2.56, 8 Ru 2.66-2.76
Ru: 0.1529 0.7500 0.6250  2 N 1.94
Ru: 0.2500 0.1529 0.3750  2 N 1.94
Ru: 0.2500 0.3471 0.8750  2 N 1.94
Ru: 0.3471 0.7500 0.1250  2 N 1.94
Ru: 0.6529 0.2500 0.1250  2 N 1.94
Ru: 0.7500 0.6529 0.8750  2 N 1.94
Ru: 0.7500 0.8471 0.3750  2 N 1.94
Ru: 0.8471 0.2500 0.6250  2 N 1.94
N: 0.0000 0.0000 0.5000  4 Ru 1.94
N: 0.0000 0.5000 0.7500  4 Ru 1.94
N: 0.5000 0.0000 0.2500  4 Ru 1.94
N: 0.5000 0.5000 0.0000  4 Ru 1.94

## Properties
Fermi-level density of states in states/eV/f.u.: 2.440
Size of the total moment in μB/cell: 0.0
Space-group type: I-42d, No. 122
Energy relative to the elements, uncorrected in kcal/mol of atoms: 10.38

=====

No. 11
The following is a GGA-PBE calculation of Mg2Ga2SiIr5 after structural relaxation, from the Alexandria database.

Lattice parameters (Å, degrees): 10.0494 10.0494 3.0813 90.00 90.00 90.00
Closest atoms and distances in Å follow each position.
Positions (direct):
Mg: 0.1682 0.3318 0.0000  3 Ga 2.81-3.06, 6 Ir 2.84-3.04, 2 Mg 3.08
Mg: 0.3318 0.8318 0.0000  3 Ga 2.81-3.06, 6 Ir 2.84-3.04, 2 Mg 3.08
Mg: 0.6682 0.1682 0.0000  3 Ga 2.81-3.06, 6 Ir 2.84-3.04, 2 Mg 3.08
Mg: 0.8318 0.6682 0.0000  3 Ga 2.81-3.06, 6 Ir 2.84-3.04, 2 Mg 3.08
Ga: 0.1344 0.6344 0.0000  6 Ir 2.45-2.47
Ga: 0.3656 0.1344 0.0000  6 Ir 2.45-2.47
Ga: 0.6344 0.8656 0.0000  6 Ir 2.45-2.47
Ga: 0.8656 0.3656 0.0000  6 Ir 2.45-2.47
Si: 0.0000 0.0000 0.0000  8 Ir 2.51
Si: 0.5000 0.5000 0.0000  8 Ir 2.51
Ir: 0.0000 0.5000 0.5000  4 Ga 2.45
Ir: 0.0715 0.8158 0.5000  2 Ga 2.47, 2 Si 2.51
Ir: 0.1842 0.0715 0.5000  2 Ga 2.47, 2 Si 2.51
Ir: 0.3158 0.5715 0.5000  2 Ga 2.47, 2 Si 2.51
Ir: 0.4285 0.3158 0.5000  2 Ga 2.47, 2 Si 2.51
Ir: 0.5000 0.0000 0.5000  4 Ga 2.45
Ir: 0.5715 0.6842 0.5000  2 Ga 2.47, 2 Si 2.51
Ir: 0.6842 0.4285 0.5000  2 Ga 2.47, 2 Si 2.51
Ir: 0.8158 0.9285 0.5000  2 Ga 2.47, 2 Si 2.51
Ir: 0.9285 0.1842 0.5000  2 Ga 2.47, 2 Si 2.51

## Properties
Fermi-level density of states in states/eV/f.u.: 1.206
Size of the total moment in μB/cell: 0.0
Space-group type: P4/mbm, No. 127
Energy relative to the elements, uncorrected in kcal/mol of atoms: -8.00

=====

No. 12
The following is a GGA-PBE calculation of KTiCrH after structural relaxation, from the Alexandria database.

Lattice parameters (Å, degrees): 13.1219 3.8302 3.0783 90.00 92.82 90.00
Closest atoms and distances in Å follow each position.
Positions (direct):
K: 0.0000 0.0000 0.0000  2 H 3.00, 2 K 3.08
K: 0.5000 0.5000 0.0000  2 H 3.00, 2 K 3.08
Ti: 0.2432 0.5000 0.9694  2 H 2.19
Ti: 0.7432 0.0000 0.9694  2 H 2.19
Cr: 0.2471 0.0000 0.4716  2 H 1.84
Cr: 0.7471 0.5000 0.4716  2 H 1.84
H: 0.3239 0.0000 0.9876  2 Cr 1.84
H: 0.8239 0.5000 0.9876  2 Cr 1.84

## Properties
Polymorph energy (0 for the lowest one) in kcal/mol of atoms: 0.26
Fermi-level density of states in states/eV/f.u.: 2.180
Size of the total moment in μB/cell: 2.2
Space-group type: Cm, No. 8

=====

Quick rundown of total energy, same order as above: -23.391; -43.348; -76.805; -10.661; -100.111; -36.648; -38.432; -34.613; -152.689; -116.693; -124.882; -40.271 eV per cell